No. 1
First-principles (PBE) data for TlCrCl2 after structural relaxation, as listed in the Alexandria database.

Lattice parameters (Å, degrees): 3.674 3.403 9.056 90.00 96.95 90.00
Atoms (fractional coordinates):
Tl 0.000 0.000 0.000
Cr 0.000 0.000 0.500
Cl 0.247 0.500 0.671
Cl 0.753 0.500 0.329

## Properties
As for the energy relative to the lowest polymorph listed for this composition: 32.7 meV per atom. Its density is 4.84 Mg/m³. The calculation puts the uncorrected formation energy at -0.570 eV/atom. For the density of states at the Fermi level, the calculation gives 0.51 states/eV/atom. The value obtained for the raw total energy is -4.491 eV/atom. The calculation puts the total moment at 4.29 μB/cell. The space group is P2/m (10).


No. 2
First-principles (PBE) data for TlCr3Cl after structural relaxation, as listed in the Alexandria database.

Lattice parameters (Å, degrees): 4.229 4.229 4.229 90.00 90.00 90.00
Atoms (fractional coordinates):
Tl 0.000 0.000 0.000
Cr 0.000 0.500 0.500
Cr 0.500 0.000 0.500
Cr 0.500 0.500 0.000
Cl 0.500 0.500 0.500

## Properties
As for the energy relative to the lowest polymorph listed for this composition: 0.0 meV per atom. Its density is 8.69 Mg/m³. The calculation puts the uncorrected formation energy at 0.899 eV/atom. For the density of states at the Fermi level, the calculation gives 1.36 states/eV/atom. The value obtained for the raw total energy is -5.718 eV/atom. The calculation puts the total moment at 1.98 μB/cell. The space group is Pm-3m (221).


No. 3
First-principles (PBE) data for Tl3CrCl6 after structural relaxation, as listed in the Alexandria database.

Lattice parameters (Å, degrees): 8.437 7.840 7.088 68.61 59.91 51.47
Atoms (fractional coordinates):
Tl 0.000 0.000 0.000
Tl 0.250 0.250 0.250
Tl 0.750 0.750 0.750
Cr 0.500 0.500 0.500
Cl 0.185 0.557 0.815
Cl 0.282 0.718 0.282
Cl 0.443 0.815 0.557
Cl 0.557 0.185 0.443
Cl 0.718 0.282 0.718
Cl 0.815 0.443 0.185

## Properties
As for the energy relative to the lowest polymorph listed for this composition: 48.3 meV per atom. Its density is 4.61 Mg/m³. The calculation puts the uncorrected formation energy at -1.019 eV/atom. The value obtained for the raw total energy is -3.799 eV/atom. The calculation puts the total moment at 3.00 μB/cell. The space group is Fmmm (69).


No. 4
First-principles (PBE) data for TlCrCl2 after structural relaxation, as listed in the Alexandria database.

Lattice parameters (Å, degrees): 3.675 3.675 7.987 90.00 90.00 90.00
Atoms (fractional coordinates):
Tl 0.000 0.000 0.000
Cr 0.500 0.500 0.539
Cl 0.000 0.000 0.579
Cl 0.500 0.500 0.231

## Properties
As for the energy relative to the lowest polymorph listed for this composition: 110.9 meV per atom. Its density is 5.04 Mg/m³. The calculation puts the uncorrected formation energy at -0.492 eV/atom. For the density of states at the Fermi level, the calculation gives 0.27 states/eV/atom. The value obtained for the raw total energy is -4.412 eV/atom. The calculation puts the total moment at 4.71 μB/cell. The space group is P4mm (99).